w) A relaxed SeSI2 crystal, computed with GGA-PBE.

Properties
- total magnetization (μB per cell) = 0.0

Lattice parameters (Å, degrees): 5.229 5.229 5.229 60.00 60.00 60.00
Element x y z (fractional)
I 0.250 0.250 0.250
I 0.750 0.750 0.750
S 0.000 0.000 0.000
Se 0.500 0.500 0.500

x) A relaxed SeSI2 crystal, computed with GGA-PBE.

Properties
- total magnetization (μB per cell) = 0.0

Lattice parameters (Å, degrees): 7.868 7.868 6.848 54.94 54.94 90.00
Element x y z (fractional)
I 0.617 0.125 0.250
I 0.133 0.625 0.250
I 0.375 0.383 0.750
I 0.875 0.867 0.750
S 0.500 0.500 0.000
S 0.250 0.750 0.500
Se 0.000 0.000 0.000
Se 0.750 0.250 0.500

Most stable of them? x).

w) A relaxed SeSI crystal, computed with GGA-PBE.

Properties
- total magnetization (μB per cell) = 0.0

Lattice parameters (Å, degrees): 3.683 5.573 6.290 111.09 89.83 109.31
Element x y z (fractional)
I 0.426 0.350 0.309
S 0.335 0.168 0.847
Se 0.518 0.534 0.775

x) A relaxed SeSI crystal, computed with GGA-PBE.

Properties
- total magnetization (μB per cell) = 0.0

Lattice parameters (Å, degrees): 4.914 7.523 17.257 88.93 104.54 50.66
Element x y z (fractional)
Se 0.949 0.742 0.054
Se 0.474 0.827 0.942
Se 0.526 0.173 0.058
Se 0.051 0.258 0.946
S 0.935 0.138 0.454
S 0.439 0.430 0.449
S 0.561 0.570 0.551
S 0.065 0.862 0.546
I 0.910 0.414 0.232
I 0.296 0.910 0.235
I 0.704 0.090 0.765
I 0.090 0.586 0.768

Most stable of them? x).

w) A relaxed SeSI crystal, computed with GGA-PBE.

Properties
- total magnetization (μB per cell) = 0.0

Lattice parameters (Å, degrees): 4.292 5.888 5.996 116.33 92.61 90.93
Element x y z (fractional)
I 0.360 0.302 0.929
S 0.245 0.611 0.750
Se 0.853 0.501 0.500

x) A relaxed SeSI crystal, computed with GGA-PBE.

Properties
- total magnetization (μB per cell) = 0.0

Lattice parameters (Å, degrees): 6.483 3.629 10.741 90.00 114.86 90.00
Element x y z (fractional)
I 0.876 0.000 0.581
I 0.876 0.500 0.081
S 0.302 0.000 0.717
S 0.302 0.500 0.217
Se 0.407 0.000 0.931
Se 0.407 0.500 0.431

y) A relaxed SeSI crystal, computed with GGA-PBE.

Properties
- total magnetization (μB per cell) = 0.0

Lattice parameters (Å, degrees): 5.721 7.213 8.294 71.20 129.24 90.06
Element x y z (fractional)
Se 0.824 0.902 0.620
Se 0.622 0.290 0.420
S 0.700 0.363 0.187
S 0.746 0.829 0.854
I 0.213 0.355 0.821
I 0.232 0.836 0.220

z) A relaxed SeSI crystal, computed with GGA-PBE.

Properties
- total magnetization (μB per cell) = 0.0

Lattice parameters (Å, degrees): 4.336 4.997 6.123 111.37 94.40 109.75
Element x y z (fractional)
I 0.393 0.569 0.918
S 0.699 0.117 0.337
Se 0.087 0.035 0.509

Most stable of them? y).

w) A relaxed SeSI crystal, computed with GGA-PBE.

Properties
- total magnetization (μB per cell) = 0.0

Lattice parameters (Å, degrees): 4.106 5.774 9.392 90.00 94.98 90.00
Element x y z (fractional)
I 0.601 0.000 0.650
I 0.601 0.500 0.150
S 0.110 0.000 0.986
S 0.110 0.500 0.486
Se 0.747 0.000 0.128
Se 0.747 0.500 0.628

x) A relaxed SeSI crystal, computed with GGA-PBE.

Properties
- total magnetization (μB per cell) = 0.0

Lattice parameters (Å, degrees): 3.151 4.010 8.129 103.26 90.34 90.00
Element x y z (fractional)
I 0.245 0.605 0.428
S 0.253 0.811 0.964
Se 0.251 0.347 0.789

Most stable of them? x).

w) A relaxed TeSeSI2 crystal, computed with GGA-PBE.

Properties
- total magnetization (μB per cell) = 2.3

Lattice parameters (Å, degrees): 5.658 5.658 5.667 90.00 90.00 90.00
Last column: magnetic moment on the atom in μB.
Element x y z (fractional)
I 0.000 0.500 0.000  0.08
I 0.500 0.000 0.000  0.08
S 0.500 0.500 0.500  1.03
Te 0.000 0.000 0.500  0.23
Se 0.000 0.000 0.000  -0.01

x) A relaxed TeSeSI2 crystal, computed with GGA-PBE.

Properties
- total magnetization (μB per cell) = 1.3

Lattice parameters (Å, degrees): 5.409 5.409 5.496 90.00 90.00 90.00
Last column: magnetic moment on the atom in μB.
Element x y z (fractional)
I 0.000 0.500 0.000  0.09
I 0.500 0.000 0.000  0.09
S 0.000 0.000 0.000  0.02
Te 0.000 0.000 0.500  -0.01
Se 0.500 0.500 0.500  0.67

Most stable of them? x).

w) A relaxed Te2SeSI crystal, computed with GGA-PBE.

Properties
- total magnetization (μB per cell) = 1.6

Lattice parameters (Å, degrees): 5.541 5.541 5.561 90.00 90.00 90.00
Last column: magnetic moment on the atom in μB.
Element x y z (fractional)
I 0.000 0.000 0.500  0.07
S 0.500 0.500 0.500  0.80
Te 0.000 0.500 0.000  0.05
Te 0.500 0.000 0.000  0.05
Se 0.000 0.000 0.000  0.01

x) A relaxed Te2SeSI crystal, computed with GGA-PBE.

Properties
- total magnetization (μB per cell) = 0.0

Lattice parameters (Å, degrees): 5.373 5.373 5.233 90.00 90.00 90.00
Element x y z (fractional)
I 0.000 0.000 0.500
S 0.000 0.000 0.000
Te 0.000 0.500 0.000
Te 0.500 0.000 0.000
Se 0.500 0.500 0.500

Most stable of them? x).